Compound: ZrMnOs
Source: Alexandria via LeMat-Bulk
Functional: GGA-PBE
Structure: relaxed

Cell lengths 6.0046, 6.0046, 6.0046 Å; angles 151.99, 151.99, 40.03 degrees
Element x y z (fractional)
Zr 0.0000 0.0000 0.0000
Mn 0.3161 0.3161 0.0000
Os 0.6935 0.6935 0.0000


Compound: ZrMnOs2
Source: Alexandria via LeMat-Bulk
Functional: GGA-PBE
Structure: relaxed

Cell lengths 2.8000, 4.3825, 5.1807 Å; angles 90.00, 98.75, 90.00 degrees
Element x y z (fractional)
Zr 0.0000 0.0000 0.0000
Mn 0.5000 0.0000 0.5000
Os 0.2997 0.5000 0.7237
Os 0.7003 0.5000 0.2763


Compound: ZrMnOs
Source: Alexandria via LeMat-Bulk
Functional: GGA-PBE
Structure: relaxed

Cell lengths 5.1400, 5.1400, 5.1400 Å; angles 120.66, 118.74, 90.53 degrees
Element x y z (fractional)
Zr 0.3760 0.1260 0.2500
Zr 0.6240 0.8740 0.7500
Mn 0.0000 0.0000 0.5000
Mn 0.0000 0.5000 0.0000
Os 0.0000 0.5000 0.5000
Os 0.5000 0.5000 0.0000


Compound: Zr2MnOs
Source: Alexandria via LeMat-Bulk
Functional: GGA-PBE
Structure: relaxed

Cell lengths 2.9042, 2.9042, 8.3461 Å; angles 90.00, 90.00, 90.00 degrees
Element x y z (fractional)
Zr 0.0000 0.0000 0.0000
Zr 0.5000 0.5000 0.3380
Mn 0.0000 0.0000 0.5768
Os 0.5000 0.5000 0.7425


Compound: ZrMnOs
Source: Alexandria via LeMat-Bulk
Functional: GGA-PBE
Structure: relaxed

Cell lengths 4.3778, 4.3778, 4.3778 Å; angles 60.00, 60.00, 60.00 degrees
Element x y z (fractional)
Zr 0.0000 0.0000 0.0000
Mn 0.2500 0.2500 0.2500
Os 0.7500 0.7500 0.7500


Compound: ZrMnOs
Source: Alexandria via LeMat-Bulk
Functional: GGA-PBE
Structure: relaxed

Cell lengths 4.2752, 4.2752, 3.2139 Å; angles 90.00, 90.00, 120.00 degrees
Element x y z (fractional)
Zr 0.0000 0.0000 0.0000
Mn 0.3333 0.6667 0.4799
Os 0.6667 0.3333 0.5335


no.,electronic total energy (eV per atom)
1,-9.6826
2,-9.9677
3,-10.0041
4,-9.3517
5,-8.8633
6,-9.6162